Entry from Alexandria via LeMat-Bulk: a relaxed ZnRuBr2 crystal (GGA-PBEsol).

Computed properties:
Volume ... 20.0 Å³ per atom
Formation energy without anion corrections ... 0.660 eV/atom
Uncorrected energy ... -25.71 eV for the cell shown
ρ ... 6771 kg/m3

Cell lengths 3.6615, 3.6615, 11.9372 Å; angles 90.00, 90.00, 90.00 degrees
With the nearest neighbours (Å) after each atom.
Space group I-4m2 (No. 119)
Inequivalent atoms, fractional coordinates:
Zn: 0.0000 0.0000 0.0000 x2  4 Br 2.59
Ru: 0.0000 0.5000 0.7500 x2  4 Br 2.59
Br: 0.0000 0.0000 0.5000 x2  4 Zn 2.59
Br: 0.0000 0.5000 0.2500 x2  4 Ru 2.59

Entry from Alexandria via LeMat-Bulk: a relaxed NbOs3 crystal (GGA-PBEsol).

Computed properties:
Volume ... 14.8 Å³ per atom
Uncorrected energy ... -47.68 eV for the cell shown
ρ ... 18650 kg/m3

Cell lengths 3.8949, 3.8949, 3.8949 Å; angles 90.00, 90.00, 90.00 degrees
With the nearest neighbours (Å) after each atom.
Space group Pm-3m (No. 221)
Inequivalent atoms, fractional coordinates:
Nb: 0.0000 0.0000 0.0000 x1  12 Os 2.75
Os: 0.0000 0.5000 0.5000 x3  4 Nb 2.75, 8 Os 2.75

Entry from Alexandria via LeMat-Bulk: a relaxed Cu2Au3 crystal (GGA-PBEsol).

Computed properties:
Volume ... 15.0 Å³ per atom
Uncorrected energy ... -163.23 eV for the cell shown
ρ ... 15912 kg/m3

Cell lengths 9.3985, 13.1588, 4.8468 Å; angles 90.00, 90.00, 90.00 degrees
With the nearest neighbours (Å) after each atom.
Space group Fdd2 (No. 43)
Inequivalent atoms, fractional coordinates:
Cu: 0.0211 0.2026 0.0000 x16  9 Au 2.61-2.88, 2 Cu 2.75
Au: 0.0000 0.0000 0.0341 x8  6 Cu 2.63-2.82, 4 Au 2.79-2.83
Au: 0.0402 0.1043 0.5295 x16  6 Cu 2.61-2.88, 5 Au 2.70-2.85

Entry from Alexandria via LeMat-Bulk: a relaxed Li3CrNi4O8 crystal (GGA-PBEsol).

Computed properties:
Volume ... 8.4 Å³ per atom
Formation energy without anion corrections ... -1.335 eV/atom
Uncorrected energy ... -208.25 eV for the cell shown
ρ ... 5380 kg/m3

Cell lengths 9.9639, 5.7443, 5.7340 Å; angles 90.00, 124.99, 90.00 degrees
With the nearest neighbours (Å) after each atom.
Space group C2/m (No. 12)
Inequivalent atoms, fractional coordinates:
Li: 0.0000 0.0000 0.0000 x2  6 O 2.10-2.16
Li: 0.2500 0.2500 0.0000 x4  6 O 2.03-2.14
Cr: 0.0000 0.5000 0.5000 x2  6 O 1.92-1.96
Ni: 0.0000 0.0000 0.5000 x2  6 O 2.02-2.06
Ni: 0.0000 0.5000 0.0000 x2  6 O 2.04
Ni: 0.2500 0.2500 0.5000 x4  6 O 1.92-2.05
O: 0.0013 0.2584 0.7415 x8  1 Cr 1.96, 3 Ni 2.02-2.05, 2 Li 2.03-2.10
O: 0.2352 0.5000 0.7205 x4  1 Cr 1.92, 2 Ni 1.97, 2 Li 2.09
O: 0.2488 0.5000 0.2755 x4  4 Ni 1.92-2.06, 2 Li 2.14

Entry from Alexandria via LeMat-Bulk: a relaxed Y2Al crystal (GGA-PBEsol).

Computed properties:
Volume ... 27.3 Å³ per atom
Uncorrected energy ... -592.72 eV for the cell shown
ρ ... 4152 kg/m3

Cell lengths 13.7870, 13.7870, 13.7870 Å; angles 90.00, 90.00, 90.00 degrees
With the nearest neighbours (Å) after each atom.
Space group Fd-3m (No. 227, origin choice 2)
Inequivalent atoms, fractional coordinates:
Y: 0.0000 0.0000 0.0000 x16  6 Al 3.03
Y: 0.0647 0.3750 0.8750 x48  4 Al 3.17-3.51, 2 Y 3.53
Al: 0.0365 0.0365 0.2135 x32  6 Y 3.03-3.17

Entry from Alexandria via LeMat-Bulk: a relaxed TaInCu2 crystal (GGA-PBEsol).

Computed properties:
Volume ... 15.7 Å³ per atom
Uncorrected energy ... -23.51 eV for the cell shown
ρ ... 11153 kg/m3

Cell lengths 2.7769, 4.1211, 5.5429 Å; angles 90.00, 97.04, 90.00 degrees
With the nearest neighbours (Å) after each atom.
Space group P2/m (No. 10)
Inequivalent atoms, fractional coordinates:
Ta: 0.0000 0.0000 0.0000 x1  8 Cu 2.70-2.82, 2 Ta 2.78, 2 In 2.94
In: 0.5000 0.0000 0.5000 x1  4 Cu 2.62, 2 In 2.78
Cu: 0.4054 0.5000 0.7814 x2  1 Cu 2.42, 2 In 2.62, 2 Ta 2.70

Entry from Alexandria via LeMat-Bulk: a relaxed CsAgF3 crystal (GGA-PBEsol).

Computed properties:
Volume ... 17.1 Å³ per atom
Formation energy without anion corrections ... -1.893 eV/atom
Uncorrected energy ... -78.01 eV for the cell shown
ρ ... 5767 kg/m3

Cell lengths 6.2902, 6.2902, 8.6672 Å; angles 90.00, 90.00, 90.00 degrees
With the nearest neighbours (Å) after each atom.
Space group I4/mcm (No. 140)
Inequivalent atoms, fractional coordinates:
Cs: 0.0000 0.0000 0.2500 x4  12 F 3.11-3.15
Ag: 0.0000 0.5000 0.0000 x4  4 F 2.09-2.17
F: 0.0000 0.5000 0.2500 x4  2 Ag 2.17
F: 0.2350 0.2650 0.0000 x8  1 Ag 2.09

Entry from Alexandria via LeMat-Bulk: a relaxed TaAlHg2 crystal (GGA-PBEsol).

Computed properties:
Volume ... 18.2 Å³ per atom
Uncorrected energy ... -16.49 eV for the cell shown
ρ ... 13870 kg/m3

Cell lengths 3.2854, 3.2854, 6.7562 Å; angles 90.00, 90.00, 90.00 degrees
With the nearest neighbours (Å) after each atom.
Space group P4/mmm (No. 123)
Inequivalent atoms, fractional coordinates:
Ta: 0.0000 0.0000 0.0000 x1  8 Hg 2.94, 4 Ta 3.29
Al: 0.0000 0.0000 0.5000 x1  8 Hg 2.81
Hg: 0.5000 0.5000 0.2662 x2  4 Al 2.81, 4 Ta 2.94

Entry from Alexandria via LeMat-Bulk: a relaxed CdAg2Au crystal (GGA-PBEsol).

Computed properties:
Volume ... 17.3 Å³ per atom
Uncorrected energy ... -12.03 eV for the cell shown
ρ ... 12582 kg/m3

Cell lengths 2.9569, 2.9569, 7.9268 Å; angles 90.00, 90.00, 90.00 degrees
With the nearest neighbours (Å) after each atom.
Space group P4mm (No. 99)
Inequivalent atoms, fractional coordinates:
Cd: 0.0000 0.0000 0.0000 x1  4 Au 2.91, 4 Ag 2.91, 4 Cd 2.96
Ag: 0.0000 0.0000 0.5008 x1  8 Ag 2.85-2.96, 4 Au 2.86
Ag: 0.5000 0.5000 0.7447 x1  8 Ag 2.85-2.96, 4 Cd 2.91
Au: 0.5000 0.5000 0.2551 x1  4 Ag 2.86, 4 Cd 2.91, 4 Au 2.96

Entry from Alexandria via LeMat-Bulk: a relaxed EuPS3 crystal (GGA-PBEsol).

Computed properties:
Volume ... 21.8 Å³ per atom
Formation energy without anion corrections ... -1.130 eV/atom
Uncorrected energy ... -140.62 eV for the cell shown
ρ ... 4243 kg/m3

Cell lengths 6.4810, 7.4076, 11.0273 Å; angles 90.00, 124.38, 90.00 degrees
With the nearest neighbours (Å) after each atom.
Space group P2_1/c (No. 14)
Inequivalent atoms, fractional coordinates:
Eu: 0.2059 0.1164 0.2497 x4  8 S 2.95-3.10
P: 0.1349 0.6087 0.0674 x4  3 S 2.02-2.04, 1 P 2.22
S: 0.0918 0.1939 0.9414 x4  1 P 2.04
S: 0.2864 0.6908 0.9575 x4  1 P 2.04
S: 0.3763 0.0034 0.7671 x4  1 P 2.02

Entry from Alexandria via LeMat-Bulk: a relaxed SbAu2IF crystal (GGA-PBEsol).

Computed properties:
Volume ... 32.7 Å³ per atom
Formation energy without anion corrections ... 0.857 eV/atom
Uncorrected energy ... -11.82 eV for the cell shown
ρ ... 6723 kg/m3

Cell lengths 5.1811, 5.1811, 6.0878 Å; angles 90.00, 90.00, 90.00 degrees
With the nearest neighbours (Å) after each atom.
Space group P4/mmm (No. 123)
Inequivalent atoms, fractional coordinates:
Sb: 0.0000 0.0000 0.0000 x1  2 I 3.04
Au: 0.0000 0.5000 0.5000 x2  2 I 2.59
I: 0.0000 0.0000 0.5000 x1  4 Au 2.59
F: 0.5000 0.5000 0.0000 x1  4 Sb 3.66, 8 Au 4.00

Entry from Alexandria via LeMat-Bulk: a relaxed YRhS2N crystal (GGA-PBEsol).

Computed properties:
Volume ... 16.7 Å³ per atom
Formation energy without anion corrections ... -0.646 eV/atom
Uncorrected energy ... -35.49 eV for the cell shown
ρ ... 5370 kg/m3

Cell lengths 4.7779, 4.7779, 3.6567 Å; angles 90.00, 90.00, 90.00 degrees
With the nearest neighbours (Å) after each atom.
Space group P4/mmm (No. 123)
Inequivalent atoms, fractional coordinates:
Y: 0.0000 0.0000 0.0000 x1  8 S 3.01
Rh: 0.5000 0.5000 0.5000 x1  2 N 1.83
S: 0.0000 0.5000 0.5000 x2  2 Rh 2.39
N: 0.5000 0.5000 0.0000 x1  2 Rh 1.83

Entry from Alexandria via LeMat-Bulk: a relaxed Cr2TcMo crystal (GGA-PBEsol).

Computed properties:
Volume ... 13.1 Å³ per atom
Uncorrected energy ... -43.08 eV for the cell shown
ρ ... 9471 kg/m3

Cell lengths 2.9829, 4.1335, 4.2368 Å; angles 90.00, 90.00, 90.00 degrees
With the nearest neighbours (Å) after each atom.
Space group Pmmm (No. 47)
Inequivalent atoms, fractional coordinates:
Cr: 0.0000 0.0000 0.0000 x1  4 Mo 2.55, 4 Cr 2.59
Cr: 0.5000 0.0000 0.5000 x1  4 Tc 2.55, 4 Cr 2.59
Tc: 0.0000 0.5000 0.5000 x1  4 Cr 2.55, 4 Mo 2.59
Mo: 0.5000 0.5000 0.0000 x1  4 Cr 2.55, 4 Tc 2.59

Entry from Alexandria via LeMat-Bulk: a relaxed TbAu3 crystal (GGA-PBEsol).

Computed properties:
Volume ... 19.4 Å³ per atom
Uncorrected energy ... -77.81 eV for the cell shown
ρ ... 16040 kg/m3

Cell lengths 6.7715, 6.7715, 6.7715 Å; angles 90.00, 90.00, 90.00 degrees
With the nearest neighbours (Å) after each atom.
Space group Fm-3m (No. 225)
Inequivalent atoms, fractional coordinates:
Tb: 0.0000 0.0000 0.0000 x4  8 Au 2.93
Au: 0.0000 0.0000 0.5000 x4  8 Au 2.93
Au: 0.2500 0.2500 0.2500 x8  4 Tb 2.93, 4 Au 2.93

Entry from Alexandria via LeMat-Bulk: a relaxed YRhSe3 crystal (GGA-PBEsol).

Computed properties:
Volume ... 29.7 Å³ per atom
Formation energy without anion corrections ... 0.440 eV/atom
Uncorrected energy ... -24.31 eV for the cell shown
ρ ... 4792 kg/m3

Cell lengths 5.2963, 5.2963, 5.2963 Å; angles 90.00, 90.00, 90.00 degrees
With the nearest neighbours (Å) after each atom.
Space group Pm-3m (No. 221)
Inequivalent atoms, fractional coordinates:
Y: 0.0000 0.0000 0.0000 x1  6 Se 2.65
Rh: 0.5000 0.5000 0.5000 x1  12 Se 3.75
Se: 0.0000 0.0000 0.5000 x3  2 Y 2.65

Entry from Alexandria via LeMat-Bulk: a relaxed CaMgAsO4F crystal (GGA-PBEsol).

Computed properties:
Volume ... 12.2 Å³ per atom
Formation energy without anion corrections ... -2.504 eV/atom
Uncorrected energy ... -207.66 eV for the cell shown
ρ ... 3778 kg/m3

Cell lengths 6.7119, 8.9640, 7.0846 Å; angles 90.00, 113.52, 90.00 degrees
With the nearest neighbours (Å) after each atom.
Space group C2/c (No. 15)
Inequivalent atoms, fractional coordinates:
Ca: 0.0000 0.1674 0.2500 x4  1 F 2.23, 4 O 2.41-2.44
Mg: 0.0000 0.5000 0.0000 x4  2 F 1.92, 4 O 2.07-2.12
As: 0.0000 0.1786 0.7500 x4  4 O 1.71-1.72
O: 0.1150 0.2855 0.6192 x8  1 As 1.72
O: 0.1793 0.0603 0.9259 x8  1 As 1.71
F: 0.0000 0.4167 0.2500 x4  2 Mg 1.92

Entry from Alexandria via LeMat-Bulk: a relaxed CaAlSe2 crystal (GGA-PBEsol).

Computed properties:
Volume ... 30.0 Å³ per atom
Formation energy without anion corrections ... -0.933 eV/atom
Uncorrected energy ... -70.62 eV for the cell shown
ρ ... 3108 kg/m3

Cell lengths 6.0605, 6.0605, 13.0886 Å; angles 90.00, 90.00, 90.00 degrees
With the nearest neighbours (Å) after each atom.
Space group I-42d (No. 122)
Inequivalent atoms, fractional coordinates:
Ca: 0.0000 0.0000 0.0000 x4  4 Se 2.86
Al: 0.0000 0.0000 0.5000 x4  4 Se 2.55
Se: 0.2049 0.2500 0.6250 x8  2 Al 2.55

Entry from Alexandria via LeMat-Bulk: a relaxed Be3In crystal (GGA-PBEsol).

Computed properties:
Volume ... 13.2 Å³ per atom
Uncorrected energy ... -12.32 eV for the cell shown
ρ ... 4453 kg/m3

Cell lengths 2.8488, 2.8488, 7.5270 Å; angles 90.00, 90.00, 120.00 degrees
With the nearest neighbours (Å) after each atom.
Space group P-6m2 (No. 187)
Inequivalent atoms, fractional coordinates:
Be: 0.0000 0.0000 0.0000 x1  6 Be 2.22
Be: 0.6667 0.3333 0.1988 x2  3 Be 2.22
In: 0.0000 0.0000 0.5000 x1  6 Be 2.80, 6 In 2.85

Entry from Alexandria via LeMat-Bulk: a relaxed TiMoPtPb2 crystal (GGA-PBEsol).

Computed properties:
Volume ... 26.0 Å³ per atom
Uncorrected energy ... -29.04 eV for the cell shown
ρ ... 9621 kg/m3

Cell lengths 5.1699, 5.1699, 4.8644 Å; angles 90.00, 90.00, 90.00 degrees
With the nearest neighbours (Å) after each atom.
Space group P4/mmm (No. 123)
Inequivalent atoms, fractional coordinates:
Ti: 0.0000 0.0000 0.0000 x1  2 Pt 2.43
Mo: 0.5000 0.5000 0.0000 x1  8 Pb 3.55, 4 Ti 3.66
Pt: 0.0000 0.0000 0.5000 x1  2 Ti 2.43, 4 Pb 2.58
Pb: 0.0000 0.5000 0.5000 x2  2 Pt 2.58

Entry from Alexandria via LeMat-Bulk: a relaxed HfGaH2Pt crystal (GGA-PBEsol).

Computed properties:
Volume ... 14.2 Å³ per atom
Uncorrected energy ... -27.88 eV for the cell shown
ρ ... 10388 kg/m3

Cell lengths 3.6571, 3.6571, 5.3224 Å; angles 90.00, 90.00, 90.00 degrees
With the nearest neighbours (Å) after each atom.
Space group P4/mmm (No. 123)
Inequivalent atoms, fractional coordinates:
Hf: 0.0000 0.0000 0.0000 x1  4 H 1.83
Ga: 0.5000 0.5000 0.5000 x1  4 Pt 2.59
H: 0.0000 0.5000 0.0000 x2  2 Hf 1.83
Pt: 0.0000 0.0000 0.5000 x1  4 Ga 2.59, 2 Hf 2.66

Entry from Alexandria via LeMat-Bulk: a relaxed GaCuTe2 crystal (GGA-PBEsol).

Computed properties:
Volume ... 26.9 Å³ per atom
Formation energy without anion corrections ... -0.187 eV/atom
Uncorrected energy ... -46.42 eV for the cell shown
ρ ... 6000 kg/m3

Cell lengths 4.2477, 4.2477, 20.6405 Å; angles 90.00, 90.00, 120.00 degrees
With the nearest neighbours (Å) after each atom.
Space group R3m (No. 160, hexagonal axes)
Inequivalent atoms, fractional coordinates:
Ga: 0.0000 0.0000 0.0000 x3  4 Te 2.57-2.72
Cu: 0.0000 0.0000 0.4851 x3  4 Te 2.52-2.58
Te: 0.0000 0.0000 0.1244 x3  3 Cu 2.52, 1 Ga 2.57
Te: 0.0000 0.0000 0.6101 x3  1 Cu 2.58, 3 Ga 2.72

Entry from Alexandria via LeMat-Bulk: a relaxed CoSiW3 crystal (GGA-PBEsol).

Computed properties:
Volume ... 17.0 Å³ per atom
Formation energy without anion corrections ... 1.687 eV/atom
Uncorrected energy ... -46.47 eV for the cell shown
ρ ... 12440 kg/m3

Cell lengths 4.4009, 4.4009, 4.4009 Å; angles 90.00, 90.00, 90.00 degrees
With the nearest neighbours (Å) after each atom.
Space group Pm-3m (No. 221)
Inequivalent atoms, fractional coordinates:
Co: 0.0000 0.0000 0.0000 x1  12 W 3.11
Si: 0.5000 0.5000 0.5000 x1  6 W 2.20
W: 0.0000 0.5000 0.5000 x3  2 Si 2.20

Entry from Alexandria via LeMat-Bulk: a relaxed CuIrC2 crystal (GGA-PBEsol).

Computed properties:
Volume ... 11.7 Å³ per atom
Uncorrected energy ... -118.09 eV for the cell shown
ρ ... 9948 kg/m3

Cell lengths 4.5675, 4.5675, 8.9542 Å; angles 90.00, 90.00, 90.00 degrees
With the nearest neighbours (Å) after each atom.
Space group I-42d (No. 122)
Inequivalent atoms, fractional coordinates:
Cu: 0.0000 0.0000 0.0000 x4  4 C 1.99
Ir: 0.0000 0.0000 0.5000 x4  4 C 1.94
C: 0.2397 0.2500 0.6250 x8  2 Ir 1.94, 2 Cu 1.99

Entry from Alexandria via LeMat-Bulk: a relaxed Li3Nb2CrO6 crystal (GGA-PBEsol).

Computed properties:
Volume ... 9.4 Å³ per atom
Formation energy without anion corrections ... -2.188 eV/atom
Uncorrected energy ... -191.07 eV for the cell shown
ρ ... 5219 kg/m3

Cell lengths 13.4662, 2.8825, 6.0652 Å; angles 90.00, 106.54, 90.00 degrees
With the nearest neighbours (Å) after each atom.
Space group C2/m (No. 12)
Inequivalent atoms, fractional coordinates:
Li: 0.0000 0.0000 0.0000 x2  6 O 2.00-2.21
Li: 0.1526 0.5000 0.3367 x4  5 O 2.04-2.10
Nb: 0.1759 0.5000 0.8527 x4  6 O 2.14-2.21
Cr: 0.0000 0.0000 0.5000 x2  6 O 1.99-2.01
O: 0.0089 0.5000 0.7311 x4  2 Cr 1.99, 3 Li 2.10-2.21, 1 Nb 2.16
O: 0.1552 0.0000 0.1004 x4  3 Li 2.00-2.04, 3 Nb 2.16-2.21
O: 0.1554 0.0000 0.5834 x4  1 Cr 2.01, 2 Li 2.07, 2 Nb 2.14

Entry from Alexandria via LeMat-Bulk: a relaxed MgCoW2 crystal (GGA-PBEsol).

Computed properties:
Volume ... 15.0 Å³ per atom
Uncorrected energy ... -35.52 eV for the cell shown
ρ ... 12449 kg/m3

Cell lengths 3.0935, 3.0935, 6.2852 Å; angles 90.00, 90.00, 90.00 degrees
With the nearest neighbours (Å) after each atom.
Space group P4mm (No. 99)
Inequivalent atoms, fractional coordinates:
Mg: 0.0000 0.0000 0.0000 x1  4 Co 2.74, 5 W 2.86-2.92
Co: 0.5000 0.5000 0.7386 x1  5 W 2.53-2.79, 4 Mg 2.74
W: 0.0000 0.0000 0.5356 x1  4 Co 2.53, 4 W 2.66
W: 0.5000 0.5000 0.2943 x1  4 W 2.66, 1 Co 2.79, 4 Mg 2.86